Computed, not measured: Zn2Sb at its PBEsol-relaxed geometry at the SCAN level of DFT.

Results
SG	Cmcm (63)
total energy	-127.510	eV/cell
uncorrected formation energy	0.179	eV/atom

a = 3.197 Å, b = 5.452 Å, c = 6.965 Å
α = 90.00°, β = 103.27°, γ = 90.00°
Sites, in units of the cell vectors:
Zn  0.488  0.750  0.975
Zn  0.512  0.250  0.025
Zn  0.864  0.250  0.729
Zn  0.136  0.750  0.271
Sb  0.182  0.250  0.364
Sb  0.818  0.750  0.636